# 1
VASP calculation (PBE) on crystalline Pr3Sm6Ho2 at its relaxed geometry.

Geometry as CIF:
```
data_Pr3Sm6Ho2
_chemical_formula_sum 'Pr6 Sm12 Ho4'
_space_group_name_H-M_alt 'I 4/m m m'
_space_group_IT_number 139
_space_group_name_Hall '-I 4 2'
_cell_length_a 4.831
_cell_length_b 4.831
_cell_length_c 33.625
_cell_angle_alpha 90.00
_cell_angle_beta 90.00
_cell_angle_gamma 90.00
loop_
_atom_site_label
_atom_site_type_symbol
_atom_site_fract_x
_atom_site_fract_y
_atom_site_fract_z
_atom_site_occupancy
Pr1 Pr 0.000 0.000 0.000 1
Pr2 Pr 0.000 0.000 0.203 1
Sm1 Sm 0.000 0.000 0.306 1
Sm2 Sm 0.000 0.500 0.119 1
Ho1 Ho 0.000 0.000 0.454 1
```

---

# 2
VASP calculation (PBE) on crystalline PrSmHo3 at its relaxed geometry.

Geometry as CIF:
```
data_PrSmHo3
_chemical_formula_sum 'Pr2 Sm2 Ho6'
_space_group_name_H-M_alt 'P 1 21/m 1'
_space_group_IT_number 11
_cell_length_a 3.645
_cell_length_b 11.635
_cell_length_c 8.607
_cell_angle_alpha 90.00
_cell_angle_beta 102.21
_cell_angle_gamma 90.00
loop_
_space_group_symop_operation_xyz
'x,y,z'
'-x,-y,-z'
'-x,y+1/2,-z'
'x,-y+1/2,z'
loop_
_atom_site_label
_atom_site_type_symbol
_atom_site_fract_x
_atom_site_fract_y
_atom_site_fract_z
_atom_site_occupancy
Pr1 Pr 0.189 0.250 0.378 1
Sm1 Sm 0.483 0.750 0.970 1
Ho1 Ho 0.148 0.750 0.298 1
Ho2 Ho 0.344 0.003 0.687 1
```

---

# 3
VASP calculation (PBE) on crystalline PrSm4Ho6 at its relaxed geometry.

Geometry as CIF:
```
data_PrSm4Ho6
_chemical_formula_sum 'Pr1 Sm4 Ho6'
_space_group_name_H-M_alt 'P -6 m 2'
_space_group_IT_number 187
_space_group_name_Hall 'P -6 2'
_cell_length_a 10.9875
_cell_length_b 10.9875
_cell_length_c 3.5323
_cell_angle_alpha 90.00
_cell_angle_beta 90.00
_cell_angle_gamma 120.00
loop_
_atom_site_label
_atom_site_type_symbol
_atom_site_fract_x
_atom_site_fract_y
_atom_site_fract_z
_atom_site_occupancy
Pr1 Pr 0.0000 0.0000 0.0000 1
Sm1 Sm 0.3333 0.6667 0.0000 1
Sm2 Sm 0.3955 0.1978 0.5000 1
Ho1 Ho 0.0075 0.5037 0.0000 1
Ho2 Ho 0.1712 0.3424 0.5000 1
```

---

# 4
VASP calculation (PBE) on crystalline PrSmHo5 at its relaxed geometry.

Geometry as CIF:
```
data_PrSmHo5
_chemical_formula_sum 'Pr2 Sm2 Ho10'
_space_group_name_H-M_alt 'I m m m'
_space_group_IT_number 71
_space_group_name_Hall '-I 2 2'
_cell_length_a 5.758
_cell_length_b 8.646
_cell_length_c 11.792
_cell_angle_alpha 90.00
_cell_angle_beta 90.00
_cell_angle_gamma 90.00
loop_
_atom_site_label
_atom_site_type_symbol
_atom_site_fract_x
_atom_site_fract_y
_atom_site_fract_z
_atom_site_occupancy
Pr1 Pr 0.000 0.000 0.000 1
Sm1 Sm 0.000 0.000 0.500 1
Ho1 Ho 0.000 0.000 0.253 1
Ho2 Ho 0.000 0.320 0.500 1
Ho3 Ho 0.000 0.500 0.000 1
```

---

# 5
VASP calculation (PBE) on crystalline Pr6Sm3Ho at its relaxed geometry.

Geometry as CIF:
```
data_Pr6Sm3Ho
_chemical_formula_sum 'Pr12 Sm6 Ho2'
_space_group_name_H-M_alt 'C 1 2/m 1'
_space_group_IT_number 12
_cell_length_a 11.499
_cell_length_b 6.989
_cell_length_c 9.201
_cell_angle_alpha 90.00
_cell_angle_beta 106.47
_cell_angle_gamma 90.00
loop_
_space_group_symop_operation_xyz
'x,y,z'
'-x,-y,-z'
'-x,y,-z'
'x,-y,z'
'x+1/2,y+1/2,z'
'-x+1/2,-y+1/2,-z'
'-x+1/2,y+1/2,-z'
'x+1/2,-y+1/2,z'
loop_
_atom_site_label
_atom_site_type_symbol
_atom_site_fract_x
_atom_site_fract_y
_atom_site_fract_z
_atom_site_occupancy
Pr1 Pr 0.125 0.000 0.418 1
Pr2 Pr 0.189 0.264 0.800 1
Sm1 Sm 0.000 0.500 0.500 1
Sm2 Sm 0.076 0.500 0.168 1
Ho1 Ho 0.000 0.000 0.000 1
```

---

# 6
VASP calculation (PBE) on crystalline PrSm9Ho2 at its relaxed geometry.

Geometry as CIF:
```
data_PrSm9Ho2
_chemical_formula_sum 'Pr1 Sm9 Ho2'
_space_group_name_H-M_alt 'P 6/m m m'
_space_group_IT_number 191
_space_group_name_Hall '-P 6 2'
_cell_length_a 11.4375
_cell_length_b 11.4375
_cell_length_c 3.5587
_cell_angle_alpha 90.00
_cell_angle_beta 90.00
_cell_angle_gamma 120.00
loop_
_atom_site_label
_atom_site_type_symbol
_atom_site_fract_x
_atom_site_fract_y
_atom_site_fract_z
_atom_site_occupancy
Pr1 Pr 0.0000 0.0000 0.0000 1
Sm1 Sm 0.0000 0.5000 0.0000 1
Sm2 Sm 0.1772 0.3543 0.5000 1
Ho1 Ho 0.3333 0.6667 0.0000 1
```

---

# 7
VASP calculation (PBE) on crystalline PrSmHo4 at its relaxed geometry.

Geometry as CIF:
```
data_PrSmHo4
_chemical_formula_sum 'Pr2 Sm2 Ho8'
_space_group_name_H-M_alt 'C 1 2/m 1'
_space_group_IT_number 12
_cell_length_a 11.326
_cell_length_b 5.030
_cell_length_c 7.159
_cell_angle_alpha 90.00
_cell_angle_beta 108.52
_cell_angle_gamma 90.00
loop_
_space_group_symop_operation_xyz
'x,y,z'
'-x,-y,-z'
'-x,y,-z'
'x,-y,z'
'x+1/2,y+1/2,z'
'-x+1/2,-y+1/2,-z'
'-x+1/2,y+1/2,-z'
'x+1/2,-y+1/2,z'
loop_
_atom_site_label
_atom_site_type_symbol
_atom_site_fract_x
_atom_site_fract_y
_atom_site_fract_z
_atom_site_occupancy
Pr1 Pr 0.000 0.000 0.000 1
Sm1 Sm 0.000 0.000 0.500 1
Ho1 Ho 0.167 0.500 0.833 1
Ho2 Ho 0.168 0.500 0.335 1
```

---

# 8
VASP calculation (PBE) on crystalline Pr6Sm4Ho at its relaxed geometry.

Geometry as CIF:
```
data_Pr6Sm4Ho
_chemical_formula_sum 'Pr12 Sm8 Ho2'
_space_group_name_H-M_alt 'I -4 2 m'
_space_group_IT_number 121
_space_group_name_Hall 'I -4 2'
_cell_length_a 6.690
_cell_length_b 6.690
_cell_length_c 17.643
_cell_angle_alpha 90.00
_cell_angle_beta 90.00
_cell_angle_gamma 90.00
loop_
_atom_site_label
_atom_site_type_symbol
_atom_site_fract_x
_atom_site_fract_y
_atom_site_fract_z
_atom_site_occupancy
Pr1 Pr 0.000 0.500 0.000 1
Pr2 Pr 0.179 0.179 0.132 1
Sm1 Sm 0.188 0.188 0.323 1
Ho1 Ho 0.000 0.000 0.500 1
```

---

# 9
VASP calculation (PBE) on crystalline Pr5Sm2Ho3 at its relaxed geometry.

Geometry as CIF:
```
data_Pr5Sm2Ho3
_chemical_formula_sum 'Pr20 Sm8 Ho12'
_space_group_name_H-M_alt 'I b a m'
_space_group_IT_number 72
_space_group_name_Hall '-I 2 2c'
_cell_length_a 9.492
_cell_length_b 22.224
_cell_length_c 6.892
_cell_angle_alpha 90.00
_cell_angle_beta 90.00
_cell_angle_gamma 90.00
loop_
_atom_site_label
_atom_site_type_symbol
_atom_site_fract_x
_atom_site_fract_y
_atom_site_fract_z
_atom_site_occupancy
Pr1 Pr 0.000 0.000 0.250 1
Pr2 Pr 0.000 0.254 0.250 1
Pr3 Pr 0.097 0.127 0.000 1
Sm1 Sm 0.095 0.380 0.500 1
Ho1 Ho 0.000 0.500 0.250 1
Ho2 Ho 0.246 0.382 0.000 1
```

---

# 10
VASP calculation (PBE) on crystalline PrSm2Ho8 at its relaxed geometry.

Geometry as CIF:
```
data_PrSm2Ho8
_chemical_formula_sum 'Pr2 Sm4 Ho16'
_space_group_name_H-M_alt 'I m m m'
_space_group_IT_number 71
_space_group_name_Hall '-I 2 2'
_cell_length_a 5.499
_cell_length_b 8.112
_cell_length_c 16.042
_cell_angle_alpha 90.00
_cell_angle_beta 90.00
_cell_angle_gamma 90.00
loop_
_atom_site_label
_atom_site_type_symbol
_atom_site_fract_x
_atom_site_fract_y
_atom_site_fract_z
_atom_site_occupancy
Pr1 Pr 0.000 0.000 0.000 1
Sm1 Sm 0.000 0.000 0.300 1
Ho1 Ho 0.000 0.205 0.500 1
Ho2 Ho 0.000 0.293 0.139 1
Ho3 Ho 0.000 0.500 0.338 1
```

---

# 11
VASP calculation (PBE) on crystalline Pr4SmHo at its relaxed geometry.

Geometry as CIF:
```
data_Pr4SmHo
_chemical_formula_sum 'Pr8 Sm2 Ho2'
_space_group_name_H-M_alt 'C m m m'
_space_group_IT_number 65
_space_group_name_Hall '-C 2 2'
_cell_length_a 5.203
_cell_length_b 15.558
_cell_length_c 5.193
_cell_angle_alpha 90.00
_cell_angle_beta 90.00
_cell_angle_gamma 90.00
loop_
_atom_site_label
_atom_site_type_symbol
_atom_site_fract_x
_atom_site_fract_y
_atom_site_fract_z
_atom_site_occupancy
Pr1 Pr 0.000 0.165 0.000 1
Pr2 Pr 0.000 0.335 0.500 1
Sm1 Sm 0.000 0.000 0.500 1
Ho1 Ho 0.000 0.500 0.000 1
```

---

Number 1: relative energy among the computed polymorphs 233 meV/atom. Number 2: relative energy among the computed polymorphs 137 meV/atom. Number 3: relative energy among the computed polymorphs 0 meV/atom. Number 4: relative energy among the computed polymorphs 904 meV/atom. Number 5: relative energy among the computed polymorphs 75 meV/atom. Number 6: relative energy among the computed polymorphs 14 meV/atom. Number 7: relative energy among the computed polymorphs 0 meV/atom. Number 8: relative energy among the computed polymorphs 0 meV/atom. Number 9: relative energy among the computed polymorphs 183 meV/atom. Number 10: relative energy among the computed polymorphs 0 meV/atom. Number 11: relative energy among the computed polymorphs 0 meV/atom.